Record 1
A relaxed SmPu2HfSb4 crystal. Source: Alexandria, functional PBE.

SG ... P2/m
Crystal system ... monoclinic
DOS(E_F) ... 25.6 states/eV per cell
Total energy ... -8.19 eV per atom
Total magnetization ... 1.3446 μB/atom
E_form (uncorrected) ... -710 meV/atom

a b c (Å): 4.3445 7.5572 7.5384
angles (deg): 109.25 90.00 90.00
Last column: magnetic moment on the atom in μB.
Fractional positions:
Sm  0.5000  0.5000  0.0000  -0.01
Sb  0.0000  0.7612  0.2447  -0.06
Sb  0.5000  0.7670  0.7640  -0.06
Sb  0.0000  0.2388  0.7553  -0.06
Sb  0.5000  0.2330  0.2360  -0.06
Hf  0.0000  0.0000  0.0000  0.02
Pu  0.0000  0.5000  0.5000  5.35
Pu  0.5000  0.0000  0.5000  5.22

Record 2
A relaxed PmY3 crystal. Source: Alexandria, functional PBE.

SG ... Imm2
Crystal system ... orthorhombic
DOS(E_F) ... 7.3 states/eV per cell
Total energy ... -6.03 eV per atom
Formation energy ... 0.008 eV/atom
Total magnetization ... 0.0003 μB/atom

a b c (Å): 3.6705 6.3317 6.7891
angles (deg): 117.80 105.68 90.00
Fractional positions:
Y  0.2495  0.5832  0.4989
Y  0.7505  0.0842  0.5011
Y  0.5000  0.5004  0.0000
Pm  0.0000  0.9989  0.0000

Record 3
A relaxed Ce7Ga3Ge crystal. Source: Alexandria, functional PBE.

SG ... C2/m
Crystal system ... monoclinic
DOS(E_F) ... 32.6 states/eV per cell
Total energy ... -5.35 eV per atom
Formation energy ... -0.329 eV/atom
Total magnetization ... 0.4937 μB/atom

a b c (Å): 5.6787 7.7318 7.7318
angles (deg): 92.76 111.63 111.63
Last column: magnetic moment on the atom in μB.
Fractional positions:
Ce  0.6576  0.4010  0.9137  0.67
Ce  0.0000  0.5000  0.5000  0.65
Ce  0.6576  0.9137  0.4010  0.67
Ce  0.3424  0.5990  0.0863  0.67
Ce  0.8353  0.8358  0.8358  0.62
Ce  0.3424  0.0863  0.5990  0.67
Ce  0.1647  0.1642  0.1642  0.62
Ga  0.0000  0.2356  0.7644  -0.03
Ga  0.0000  0.7644  0.2356  -0.03
Ga  0.5000  0.0000  0.0000  -0.02
Ge  0.5000  0.5000  0.5000  -0.01